Material: V2Bi5O12
Method: DFT, PBE+U
State: relaxed

Results
Uncorrected energy: -121.7 eV/f.u.
ρ: 8.10 g/cm³

Unit cell a=5.9759 b=7.0212 c=7.5590 alpha=105.37 beta=90.00 gamma=115.19
Closest atoms and distances in Å follow each position.
Element x y z (fractional)
O (0.5943, 0.6946, 0.4223)  4 Bi 2.36-2.45
O (0.4057, 0.3054, 0.5777)  4 Bi 2.36-2.45
O (0.4985, 0.9970, 0.1702)  2 V 2.07
O (0.5928, 0.6925, 0.9232)  1 V 1.87
O (0.8997, 0.3054, 0.5777)  4 Bi 2.36-2.45
O (0.0998, 0.6925, 0.9232)  1 V 1.87
O (0.0007, 0.0013, 0.1805)  2 V 1.94
O (0.1003, 0.6946, 0.4223)  4 Bi 2.36-2.45
O (0.4072, 0.3075, 0.0768)  1 V 1.87
Bi (0.0000, 0.0000, 0.5000)  6 O 2.39-2.42
Bi (0.3112, 0.6225, 0.6442)  7 O 2.38-2.50
V (0.7695, 0.0000, 0.0000)  6 O 1.87-2.07
O (0.9993, 0.9987, 0.8195)  2 V 1.94
O (0.5015, 0.0030, 0.8298)  2 V 2.07
O (0.9002, 0.3075, 0.0768)  1 V 1.87
Bi (0.6888, 0.3775, 0.3558)  7 O 2.38-2.50
Bi (0.3102, 0.6205, 0.1672)  7 O 2.36-2.50
V (0.2305, 0.0000, 0.0000)  6 O 1.87-2.07
Bi (0.6898, 0.3795, 0.8328)  7 O 2.36-2.50